1.
! Ac13Sm3 | the Alexandria database | GGA-PBE | relaxed; values from VASP
&SYSTEM
  ibrav = 0, nat = 16, ntyp = 2
/
ATOMIC_SPECIES
Ac 227.00 Ac.upf
Sm 150.36 Sm.upf
CELL_PARAMETERS angstrom
11.1943 0.0000 0.0000
0.0000 5.5245 5.5511
0.0000 -5.5245 5.5511
ATOMIC_POSITIONS crystal
Ac 0.0000 0.0000 0.0000
Ac 0.0000 0.9998 0.4922
Ac 0.0000 0.4922 0.9998
Ac 0.0000 0.4920 0.4920
Ac 0.2533 0.2432 0.7485
Ac 0.2529 0.7472 0.7472
Ac 0.2533 0.7485 0.2432
Ac 0.5000 0.9998 0.4889
Ac 0.5000 0.4889 0.9998
Ac 0.5000 0.4919 0.4919
Ac 0.7467 0.2432 0.7485
Ac 0.7471 0.7472 0.7472
Ac 0.7467 0.7485 0.2432
Sm 0.2536 0.2431 0.2431
Sm 0.5000 0.9994 0.9994
Sm 0.7464 0.2431 0.2431
! SG: Amm2 (38)
! DFT total energy: -4.193 eV/atom
! ΔH_f (0 K): 30 meV per atom
! M_tot: 0.000 μB per formula unit

=====

2.
! RbNaZn2 | the Alexandria database | GGA-PBE | relaxed; values from VASP
&SYSTEM
  ibrav = 0, nat = 8, ntyp = 3
/
ATOMIC_SPECIES
Rb 85.47 Rb.upf
Na 22.99 Na.upf
Zn 65.41 Zn.upf
CELL_PARAMETERS angstrom
-2.5672 2.5672 10.8908
2.5672 -2.5672 10.8908
2.5672 2.5672 -10.8908
ATOMIC_POSITIONS crystal
Rb 0.3750 0.6250 0.7500
Rb 0.6250 0.3750 0.2500
Na 0.1250 0.8750 0.2500
Na 0.8750 0.1250 0.7500
Zn 0.0000 0.0000 0.0000
Zn 0.0000 0.0000 0.5000
Zn 0.0000 0.5000 0.0000
Zn 0.5000 0.0000 0.5000
! SG: I4_1/amd (141)
! relative energy among the computed polymorphs: 0.0 meV per atom
! DFT total energy: -1.004 eV/atom
! ΔH_f (0 K): 205 meV per atom
! M_tot: 0.000 μB per formula unit

=====

3.
! Tm2ZrAu6 | the Alexandria database | GGA-PBE | relaxed; values from VASP
&SYSTEM
  ibrav = 0, nat = 18, ntyp = 3
/
ATOMIC_SPECIES
Tm 168.93 Tm.upf
Zr 91.22 Zr.upf
Au 196.97 Au.upf
CELL_PARAMETERS angstrom
6.8029 -5.3916 0.0000
6.8029 5.3916 0.0000
-0.9870 0.0000 5.0469
ATOMIC_POSITIONS crystal
Tm 0.0430 0.2911 0.0840
Tm 0.2911 0.0430 0.5840
Tm 0.7089 0.9570 0.4160
Tm 0.9570 0.7089 0.9160
Zr 0.3759 0.6241 0.7500
Zr 0.6241 0.3759 0.2500
Au 0.0730 0.8112 0.4770
Au 0.1550 0.4072 0.6436
Au 0.1888 0.9270 0.0230
Au 0.2700 0.5144 0.1931
Au 0.4072 0.1550 0.1436
Au 0.4856 0.7300 0.3069
Au 0.5144 0.2700 0.6931
Au 0.5928 0.8450 0.8564
Au 0.7300 0.4856 0.8069
Au 0.8112 0.0730 0.9770
Au 0.8450 0.5928 0.3564
Au 0.9270 0.1888 0.5230
! SG: C2/c (15)
! DFT total energy: -4.793 eV/atom
! ΔH_f (0 K): -665 meV per atom
! M_tot: 0.000 μB per formula unit

=====

4.
! CrCdIr | the Alexandria database | GGA-PBE | relaxed; values from VASP
&SYSTEM
  ibrav = 0, nat = 3, ntyp = 3
/
ATOMIC_SPECIES
Cr 52.00 Cr.upf
Cd 112.41 Cd.upf
Ir 192.22 Ir.upf
CELL_PARAMETERS angstrom
-1.4451 1.7833 4.7911
1.4451 -1.7833 4.7911
1.4451 1.7833 -4.7911
ATOMIC_POSITIONS crystal
Cr 0.0000 0.0000 0.0000
Cd 0.3057 0.3057 0.0000
Ir 0.6127 0.6127 0.0000
! SG: Imm2 (44)
! relative energy among the computed polymorphs: 44.3 meV per atom
! DFT total energy: -6.307 eV/atom
! ΔH_f (0 K): 160 meV per atom
! M_tot: 2.494 μB per formula unit

=====

5.
! Li5Cu4P6 | the Alexandria database | GGA-PBE | relaxed; values from VASP
&SYSTEM
  ibrav = 0, nat = 15, ntyp = 3
/
ATOMIC_SPECIES
Li 6.94 Li.upf
Cu 63.55 Cu.upf
P 30.97 P.upf
CELL_PARAMETERS angstrom
-1.9422 4.3576 6.3296
1.9422 -4.3576 6.3296
1.9422 4.3576 -6.3296
ATOMIC_POSITIONS crystal
Li 0.0000 0.0000 0.0000
Li 0.2780 0.2780 0.0000
Li 0.3264 0.5000 0.8264
Li 0.6736 0.5000 0.1736
Li 0.7220 0.7220 0.0000
Cu 0.0946 0.8276 0.2669
Cu 0.4393 0.1724 0.2669
Cu 0.5607 0.8276 0.7331
Cu 0.9054 0.1724 0.7331
P 0.0241 0.6485 0.3756
P 0.2728 0.6485 0.6244
P 0.4144 0.9144 0.5000
P 0.5856 0.0856 0.5000
P 0.7272 0.3515 0.3756
P 0.9759 0.3515 0.6244
! SG: Immm (71)
! DFT total energy: -4.341 eV/atom
! ΔH_f (0 K): -446 meV per atom
! M_tot: 0.000 μB per formula unit

=====

6.
! K2Bi2I | the Alexandria database | GGA-PBE | relaxed; values from VASP
&SYSTEM
  ibrav = 0, nat = 10, ntyp = 3
/
ATOMIC_SPECIES
K 39.10 K.upf
Bi 208.98 Bi.upf
I 126.90 I.upf
CELL_PARAMETERS angstrom
9.5306 0.0000 0.0000
0.0000 9.5306 0.0000
0.0000 0.0000 4.8152
ATOMIC_POSITIONS crystal
K 0.1925 0.3075 0.0000
K 0.3075 0.8075 0.0000
K 0.6925 0.1925 0.0000
K 0.8075 0.6925 0.0000
Bi 0.1032 0.6032 0.5000
Bi 0.3968 0.1032 0.5000
Bi 0.6032 0.8968 0.5000
Bi 0.8968 0.3968 0.5000
I 0.0000 0.0000 0.5000
I 0.5000 0.5000 0.5000
! SG: P4/mbm (127)
! relative energy among the computed polymorphs: 0.0 meV per atom
! DFT total energy: -2.754 eV/atom
! M_tot: 0.000 μB per formula unit